## Pt3W5 (GGA-PBE)

Data for a geometry-optimized Pt3W5 structure.

Lattice parameters (Å, degrees): 5.6617 5.6617 3.9295 90.00 90.00 91.78
Closest atoms and distances in Å follow each position.
Atoms (fractional coordinates):
Pt (0.0000, 0.0000, 0.0000)  4 Pt 2.76, 8 W 2.83
Pt (0.2457, 0.2457, 0.5000)  2 Pt 2.76, 10 W 2.81-2.85
Pt (0.7543, 0.7543, 0.5000)  2 Pt 2.76, 10 W 2.81-2.85
W (0.0000, 0.5000, 0.0000)  6 W 2.78-2.83, 6 Pt 2.83
W (0.2502, 0.7498, 0.5000)  6 W 2.78-2.83, 6 Pt 2.81-2.85
W (0.5000, 0.0000, 0.0000)  6 W 2.78-2.83, 6 Pt 2.83
W (0.5000, 0.5000, 0.0000)  4 Pt 2.81, 8 W 2.83
W (0.7498, 0.2502, 0.5000)  6 W 2.78-2.83, 6 Pt 2.81-2.85

**ΔE_f**: -0.1232 eV per atom
**Density of states at the Fermi level**: 5.17 states/eV/cell



## ZrTaBrF2 (GGA-PBE)

Data for a geometry-optimized ZrTaBrF2 structure.

Lattice parameters (Å, degrees): 4.0230 4.0230 6.2858 90.00 90.00 90.00
Closest atoms and distances in Å follow each position.
Atoms (fractional coordinates):
Zr (0.0000, 0.0000, 0.0000)  4 Br 2.84
Ta (0.5000, 0.5000, 0.5000)  4 F 2.01
Br (0.5000, 0.5000, 0.0000)  4 Zr 2.84, 2 Ta 3.14
F (0.0000, 0.5000, 0.5000)  2 Ta 2.01
F (0.5000, 0.0000, 0.5000)  2 Ta 2.01

**Formation energy (no corrections)**: -0.639 eV per atom
**Density of states at the Fermi level**: 5.00 states/eV/cell



## Pm4GaIrCl2 (GGA-PBE)

Data for a geometry-optimized Pm4GaIrCl2 structure.

Lattice parameters (Å, degrees): 7.5387 4.0222 7.7320 90.00 109.64 90.00
Closest atoms and distances in Å follow each position.
Atoms (fractional coordinates):
Pm (0.2271, 0.0000, 0.2790)  1 Ir 2.80, 2 Ga 2.97, 2 Cl 3.02
Pm (0.2395, 0.5000, 0.7110)  2 Ir 2.83, 1 Ga 2.94, 2 Cl 3.15
Pm (0.7605, 0.5000, 0.2890)  2 Ir 2.83, 1 Ga 2.94, 2 Cl 3.15
Pm (0.7729, 0.0000, 0.7210)  1 Ir 2.80, 2 Ga 2.97, 2 Cl 3.02
Ga (0.5000, 0.5000, 0.5000)  6 Pm 2.94-2.97
Ir (0.0000, 0.0000, 0.5000)  6 Pm 2.80-2.83
Cl (0.0000, 0.5000, 0.0000)  6 Pm 3.02-3.31
Cl (0.5000, 0.0000, 0.0000)  6 Pm 3.15-3.45

**Formation energy (no corrections)**: -1.070 eV per atom
**Density of states at the Fermi level**: 6.42 states/eV/cell



## Co2AgPt (GGA-PBE)

Data for a geometry-optimized Co2AgPt structure.

Lattice parameters (Å, degrees): 8.9542 8.9542 8.9542 17.39 17.39 17.39
Closest atoms and distances in Å follow each position.
Atoms (fractional coordinates):
Co (0.0000, 0.0000, 0.0000)  9 Co 2.42-2.71
Co (0.2634, 0.2634, 0.2634)  9 Co 2.42-2.71, 3 Pt 2.66
Ag (0.7542, 0.7542, 0.7542)  6 Ag 2.71, 3 Co 2.79, 3 Pt 2.95
Pt (0.5152, 0.5152, 0.5152)  3 Co 2.66, 6 Pt 2.71, 3 Ag 2.95

**ΔE_f**: 0.1067 eV per atom
**Density of states at the Fermi level**: 3.33 states/eV/cell



## BaC2N (GGA-PBE)

Data for a geometry-optimized BaC2N structure.

Lattice parameters (Å, degrees): 7.7928 7.7928 7.7928 150.86 150.86 41.68
Closest atoms and distances in Å follow each position.
Atoms (fractional coordinates):
Ba (0.3750, 0.6250, 0.7500)  4 N 2.77, 8 C 2.85
Ba (0.6250, 0.3750, 0.2500)  4 N 2.77, 8 C 2.85
C (0.0000, 0.0000, 0.0000)  2 C 1.96, 2 N 2.07
C (0.0000, 0.0000, 0.5000)  2 C 1.96, 2 N 2.07
C (0.0000, 0.5000, 0.0000)  2 C 1.96, 2 N 2.07
C (0.5000, 0.0000, 0.5000)  2 C 1.96, 2 N 2.07
N (0.1250, 0.8750, 0.2500)  4 C 2.07
N (0.8750, 0.1250, 0.7500)  4 C 2.07

**Formation energy (no corrections)**: 1.917 eV per atom
**Density of states at the Fermi level**: 3.93 states/eV/cell



## V5Bi3 (GGA-PBE)

Data for a geometry-optimized V5Bi3 structure.

Lattice parameters (Å, degrees): 7.9708 7.9708 7.9708 97.26 97.26 138.36
Closest atoms and distances in Å follow each position.
Atoms (fractional coordinates):
V (0.0776, 0.7261, 0.8037)  1 V 2.21
V (0.2261, 0.5776, 0.8037)  1 V 2.21
V (0.2500, 0.7500, 0.5000)  10 V 2.83-2.89, 4 Bi 2.95
V (0.2739, 0.0776, 0.3516)  1 V 2.21
V (0.4224, 0.2261, 0.6484)  1 V 2.21
V (0.5776, 0.7739, 0.3516)  1 V 2.21
V (0.7261, 0.9224, 0.6484)  1 V 2.21
V (0.7500, 0.2500, 0.5000)  10 V 2.83-2.89, 4 Bi 2.95
V (0.7739, 0.4224, 0.1963)  1 V 2.21
V (0.9224, 0.2739, 0.1963)  1 V 2.21
Bi (0.1736, 0.3264, 0.5000)  6 V 2.70-2.95
Bi (0.2500, 0.2500, 0.0000)  2 Bi 2.83
Bi (0.3264, 0.8264, 0.1529)  6 V 2.70-2.95
Bi (0.6736, 0.1736, 0.8471)  6 V 2.70-2.95
Bi (0.7500, 0.7500, 0.0000)  2 Bi 2.83
Bi (0.8264, 0.6736, 0.5000)  6 V 2.70-2.95

**ΔE_f**: 0.4400 eV per atom
**Density of states at the Fermi level**: 14.93 states/eV/cell



Q: The highest density of states at the Fermi level belongs to which entry?
A: V5Bi3